DFT (PBE) results for crystalline NaSmOs2O8 at its relaxed geometry.

Its uncorrected formation energy is -1.5238 eV/atom. The value obtained for the volume is 13.7 Å³/atom.

abc: 5.325 5.325 6.918
angles: 112.64 112.64 90.00
Element x y z (fractional)
O 0.741 0.825 0.154
O 0.313 0.910 0.330
O 0.580 0.687 0.670
O 0.671 0.259 0.846
O 0.090 0.983 0.670
O 0.413 0.329 0.154
O 0.175 0.587 0.846
O 0.017 0.420 0.330
Sm 0.000 0.000 0.000
Os 0.500 0.500 0.000
Os 0.250 0.750 0.500
Na 0.750 0.250 0.500